Entry 1:
This record from Alexandria describes crystalline ErAl11Co at its relaxed geometry. The functional is PBE.

total magnetic moment: 0.000 μB/atom
energy relative to the elements: -0.19 eV per atom
V: 433 Å³ per cell
crystal system: monoclinic

Cell and atoms, written as CIF:
```
data_ErAl11Co
_chemical_formula_sum 'Er2 Al22 Co2'
_space_group_name_H-M_alt 'C 1 2/m 1'
_space_group_IT_number 12
_space_group_name_Hall '-C 2y'
_cell_length_a 5.117
_cell_length_b 12.535
_cell_length_c 7.122
_cell_angle_alpha 90.00
_cell_angle_beta 108.43
_cell_angle_gamma 90.00
loop_
_atom_site_label
_atom_site_fract_x
_atom_site_fract_y
_atom_site_fract_z
_atom_site_occupancy
Er1 0.000 0.000 0.000 1
Al1 0.000 0.000 0.500 1
Al2 0.107 0.393 0.230 1
Al3 0.188 0.173 0.361 1
Al4 0.250 0.250 0.000 1
Co1 0.000 0.500 0.500 1
```

Entry 2:
This record from Alexandria describes crystalline Er3Al7Co2 at its relaxed geometry. The functional is PBE.

total magnetic moment: 0.000 μB/atom
energy relative to the elements: -0.40 eV per atom
V: 446 Å³ per cell
crystal system: orthorhombic

Cell and atoms, written as CIF:
```
data_Er3Al7Co2
_chemical_formula_sum 'Er6 Al14 Co4'
_space_group_name_H-M_alt 'C m m m'
_space_group_IT_number 65
_space_group_name_Hall '-C 2 2'
_cell_length_a 4.448
_cell_length_b 22.437
_cell_length_c 4.465
_cell_angle_alpha 90.00
_cell_angle_beta 90.00
_cell_angle_gamma 90.00
loop_
_atom_site_label
_atom_site_fract_x
_atom_site_fract_y
_atom_site_fract_z
_atom_site_occupancy
Er1 0.000 0.000 0.000 1
Er2 0.000 0.186 0.000 1
Al1 0.000 0.092 0.500 1
Al2 0.000 0.286 0.500 1
Al3 0.000 0.408 0.000 1
Al4 0.000 0.500 0.500 1
Co1 0.000 0.391 0.500 1
```

Entry 3:
This record from Alexandria describes crystalline Er4Al16Co3 at its relaxed geometry. The functional is PBE.

total magnetic moment: 0.000 μB/atom
energy relative to the elements: -0.48 eV per atom
V: 400 Å³ per cell
crystal system: tetragonal

Cell and atoms, written as CIF:
```
data_Er4Al16Co3
_chemical_formula_sum 'Er4 Al16 Co3'
_space_group_name_H-M_alt 'P 4/m m m'
_space_group_IT_number 123
_space_group_name_Hall '-P 4 2'
_cell_length_a 5.998
_cell_length_b 5.998
_cell_length_c 11.127
_cell_angle_alpha 90.00
_cell_angle_beta 90.00
_cell_angle_gamma 90.00
loop_
_atom_site_label
_atom_site_fract_x
_atom_site_fract_y
_atom_site_fract_z
_atom_site_occupancy
Er1 0.000 0.500 0.193 1
Al1 0.000 0.000 0.193 1
Al2 0.224 0.224 0.000 1
Al3 0.251 0.251 0.384 1
Al4 0.500 0.500 0.214 1
Co1 0.000 0.500 0.500 1
Co2 0.500 0.500 0.000 1
```

Entry 4:
This record from Alexandria describes crystalline Er2AlFe2Co5 at its relaxed geometry. The functional is PBE.

total magnetic moment: 1.015 μB/atom
energy relative to the elements: -0.09 eV per atom
V: 291 Å³ per cell
crystal system: tetragonal

Cell and atoms, written as CIF:
```
data_Er2AlFe2Co5
_chemical_formula_sum 'Er4 Al2 Fe4 Co10'
_space_group_name_H-M_alt 'P 4/m b m'
_space_group_IT_number 127
_space_group_name_Hall '-P 4 2ab'
_cell_length_a 9.289
_cell_length_b 9.289
_cell_length_c 3.369
_cell_angle_alpha 90.00
_cell_angle_beta 90.00
_cell_angle_gamma 90.00
loop_
_atom_site_label
_atom_site_fract_x
_atom_site_fract_y
_atom_site_fract_z
_atom_site_occupancy
Er1 0.178 0.322 0.000 1
Al1 0.000 0.000 0.000 1
Fe1 0.121 0.621 0.000 1
Co1 0.000 0.500 0.500 1
Co2 0.060 0.794 0.500 1
```

Entry 5:
This record from Alexandria describes crystalline Er2AlGa2Co5 at its relaxed geometry. The functional is PBE.

total magnetic moment: 0.062 μB/atom
energy relative to the elements: -0.26 eV per atom
V: 295 Å³ per cell
crystal system: tetragonal

Cell and atoms, written as CIF:
```
data_Er2AlGa2Co5
_chemical_formula_sum 'Er4 Al2 Ga4 Co10'
_space_group_name_H-M_alt 'P 4/m b m'
_space_group_IT_number 127
_space_group_name_Hall '-P 4 2ab'
_cell_length_a 9.467
_cell_length_b 9.467
_cell_length_c 3.289
_cell_angle_alpha 90.00
_cell_angle_beta 90.00
_cell_angle_gamma 90.00
loop_
_atom_site_label
_atom_site_fract_x
_atom_site_fract_y
_atom_site_fract_z
_atom_site_occupancy
Er1 0.173 0.327 0.000 1
Al1 0.000 0.000 0.000 1
Ga1 0.125 0.625 0.000 1
Co1 0.000 0.500 0.500 1
Co2 0.062 0.799 0.500 1
```

Entry 6:
This record from Alexandria describes crystalline GdErAlCo at its relaxed geometry. The functional is PBE.

total magnetic moment: 1.532 μB/atom
energy relative to the elements: -0.20 eV per atom
V: 344 Å³ per cell
crystal system: cubic

Cell and atoms, written as CIF:
```
data_GdErAlCo
_chemical_formula_sum 'Gd4 Er4 Al4 Co4'
_space_group_name_H-M_alt 'F -4 3 m'
_space_group_IT_number 216
_space_group_name_Hall 'F -4 2 3'
_cell_length_a 7.006
_cell_length_b 7.006
_cell_length_c 7.006
_cell_angle_alpha 90.00
_cell_angle_beta 90.00
_cell_angle_gamma 90.00
loop_
_atom_site_label
_atom_site_fract_x
_atom_site_fract_y
_atom_site_fract_z
_atom_site_occupancy
Gd1 0.000 0.000 0.000 1
Er1 0.000 0.000 0.500 1
Al1 0.250 0.250 0.750 1
Co1 0.250 0.250 0.250 1
```

Entry 7:
This record from Alexandria describes crystalline Er2Al4CoGe2 at its relaxed geometry. The functional is PBE.

total magnetic moment: 0.000 μB/atom
energy relative to the elements: -0.64 eV per atom
V: 328 Å³ per cell
crystal system: tetragonal

Cell and atoms, written as CIF:
```
data_Er2Al4CoGe2
_chemical_formula_sum 'Er4 Al8 Co2 Ge4'
_space_group_name_H-M_alt 'I 4/m m m'
_space_group_IT_number 139
_space_group_name_Hall '-I 4 2'
_cell_length_a 4.109
_cell_length_b 4.109
_cell_length_c 19.444
_cell_angle_alpha 90.00
_cell_angle_beta 90.00
_cell_angle_gamma 90.00
loop_
_atom_site_label
_atom_site_fract_x
_atom_site_fract_y
_atom_site_fract_z
_atom_site_occupancy
Er1 0.000 0.000 0.184 1
Al1 0.000 0.500 0.066 1
Co1 0.000 0.000 0.000 1
Ge1 0.000 0.000 0.335 1
```

Entry 8:
This record from Alexandria describes crystalline Er2AlCo4Ge3 at its relaxed geometry. The functional is PBE.

total magnetic moment: 0.000 μB/atom
energy relative to the elements: -0.56 eV per atom
V: 156 Å³ per cell
crystal system: tetragonal

Cell and atoms, written as CIF:
```
data_Er2AlCo4Ge3
_chemical_formula_sum 'Er2 Al1 Co4 Ge3'
_space_group_name_H-M_alt 'P -4 m 2'
_space_group_IT_number 115
_space_group_name_Hall 'P -4 -2'
_cell_length_a 3.943
_cell_length_b 3.943
_cell_length_c 10.040
_cell_angle_alpha 90.00
_cell_angle_beta 90.00
_cell_angle_gamma 90.00
loop_
_atom_site_label
_atom_site_fract_x
_atom_site_fract_y
_atom_site_fract_z
_atom_site_occupancy
Er1 0.000 0.500 0.249 1
Al1 0.000 0.000 0.500 1
Co1 0.000 0.000 0.000 1
Co2 0.000 0.500 0.638 1
Co3 0.500 0.500 0.000 1
Ge1 0.000 0.500 0.871 1
Ge2 0.500 0.500 0.500 1
```

Copy entry 3 word for word.
This record from Alexandria describes crystalline Er4Al16Co3 at its relaxed geometry. The functional is PBE.

total magnetic moment: 0.000 μB/atom
energy relative to the elements: -0.48 eV per atom
V: 400 Å³ per cell
crystal system: tetragonal

Cell and atoms, written as CIF:
```
data_Er4Al16Co3
_chemical_formula_sum 'Er4 Al16 Co3'
_space_group_name_H-M_alt 'P 4/m m m'
_space_group_IT_number 123
_space_group_name_Hall '-P 4 2'
_cell_length_a 5.998
_cell_length_b 5.998
_cell_length_c 11.127
_cell_angle_alpha 90.00
_cell_angle_beta 90.00
_cell_angle_gamma 90.00
loop_
_atom_site_label
_atom_site_fract_x
_atom_site_fract_y
_atom_site_fract_z
_atom_site_occupancy
Er1 0.000 0.500 0.193 1
Al1 0.000 0.000 0.193 1
Al2 0.224 0.224 0.000 1
Al3 0.251 0.251 0.384 1
Al4 0.500 0.500 0.214 1
Co1 0.000 0.500 0.500 1
Co2 0.500 0.500 0.000 1
```